i | {"formula": "CuRe2", "functional": "PBE", "state": "optimized geometry", "sg": "P6/mmm, No. 191", "cell": [[-3.386, 1.057, 2.772], [-1.657, -0.471, -1.845], [1.472, -4.248, -0.238]], "species": ["Re", "Re", "Cu"], "fractional_positions": [[0.333, 0.500, 0.667], [0.667, 0.500, 0.333], [0.000, 0.000, 0.000]]}


ii | {"formula": "CuRe2", "functional": "PBE", "state": "optimized geometry", "sg": "P-3m1, No. 164", "cell": [[-0.719, -1.887, -1.876], [1.873, -0.616, 1.926], [-4.797, -2.131, 3.982]], "species": ["Re", "Re", "Cu"], "fractional_positions": [[0.333, 0.667, 0.339], [0.667, 0.333, 0.661], [0.000, 0.000, 0.000]]}


iii | {"formula": "CuRe2", "functional": "PBE", "state": "optimized geometry", "sg": "Pa-3, No. 205", "cell": [[5.787, 0.000, 0.000], [0.000, 5.787, 0.000], [0.000, 0.000, 5.787]], "species": ["Re", "Re", "Re", "Re", "Re", "Cu", "Re", "Re", "Re", "Cu", "Cu", "Cu"], "fractional_positions": [[0.117, 0.617, 0.883], [0.617, 0.617, 0.617], [0.883, 0.117, 0.617], [0.383, 0.117, 0.883], [0.117, 0.883, 0.383], [0.500, 0.000, 0.500], [0.883, 0.383, 0.117], [0.617, 0.883, 0.117], [0.383, 0.383, 0.383], [0.000, 0.000, 0.000], [0.000, 0.500, 0.500], [0.500, 0.500, 0.000]]}


Stability ranking, top entry: ii; the second entry is 0.291 eV/atom less favorable.


i | {"formula": "CuRe2", "functional": "PBE", "state": "optimized geometry", "sg": "Immm, No. 71", "cell": [[4.638, 0.001, 0.005], [2.188, 4.089, -0.005], [-2.984, -2.762, 2.232]], "species": ["Re", "Re", "Cu"], "fractional_positions": [[0.333, 0.333, 0.000], [0.667, 0.667, 0.000], [0.000, 0.000, 0.000]]}


ii | {"formula": "CuRe2", "functional": "PBE", "state": "optimized geometry", "sg": "Cmcm, No. 63", "cell": [[4.633, 4.964, -2.539], [-5.635, -2.696, 3.678], [2.556, -0.612, 3.468]], "species": ["Cu", "Re", "Cu", "Re", "Re", "Re"], "fractional_positions": [[0.389, 0.611, 0.250], [0.717, 0.283, 0.250], [0.611, 0.389, 0.750], [0.053, 0.947, 0.250], [0.283, 0.717, 0.750], [0.947, 0.053, 0.750]]}


iii | {"formula": "CuRe2", "functional": "PBE", "state": "optimized geometry", "sg": "Cm, No. 8", "cell": [[1.629, -4.402, 2.191], [3.784, -3.467, 0.700], [2.953, 1.775, 5.384]], "species": ["Re", "Cu", "Re", "Re", "Cu", "Re"], "fractional_positions": [[0.663, 0.663, 0.670], [0.336, 0.336, 0.332], [0.946, 0.946, 0.609], [0.617, 0.617, 0.274], [0.995, 0.995, 0.009], [0.277, 0.277, 0.940]]}


Stability ranking, top entry: ii; the second entry is 0.035 eV/atom less favorable.


i | {"formula": "CuRe2", "functional": "PBE", "state": "optimized geometry", "sg": "P6_3/mmc, No. 194", "cell": [[5.186, 0.000, 0.000], [2.593, 4.491, 0.000], [0.000, 0.000, 8.249]], "species": ["Re", "Cu", "Re", "Cu", "Cu", "Re", "Re", "Re", "Re", "Re", "Re", "Cu"], "fractional_positions": [[0.000, 0.000, 0.500], [0.667, 0.667, 0.415], [0.348, 0.826, 0.750], [0.333, 0.333, 0.915], [0.333, 0.333, 0.585], [0.174, 0.652, 0.250], [0.000, 0.000, 0.000], [0.174, 0.174, 0.250], [0.652, 0.174, 0.250], [0.826, 0.348, 0.750], [0.826, 0.826, 0.750], [0.667, 0.667, 0.085]]}


ii | {"formula": "CuRe2", "functional": "PBE", "state": "optimized geometry", "sg": "P4/mmm, No. 123", "cell": [[-0.167, -2.387, -3.584], [4.247, -0.685, 0.258], [-0.427, -2.109, 1.424]], "species": ["Re", "Re", "Cu"], "fractional_positions": [[0.500, 0.000, 0.500], [0.000, 0.500, 0.500], [0.000, 0.000, 0.000]]}


Stability ranking, top entry: i; the second entry is 0.577 eV/atom less favorable.


i | {"formula": "CuRe", "functional": "PBE", "state": "optimized geometry", "sg": "P4/nmm, No. 129", "cell": [[2.782, 0.000, 0.000], [0.000, 2.782, 0.000], [0.000, 0.000, 7.066]], "species": ["Cu", "Re", "Cu", "Re"], "fractional_positions": [[0.250, 0.250, 0.110], [0.750, 0.750, 0.372], [0.750, 0.750, 0.890], [0.250, 0.250, 0.628]]}


ii | {"formula": "CuRe", "functional": "PBE", "state": "optimized geometry", "sg": "I4/mmm, No. 139", "cell": [[3.605, 0.000, 0.000], [0.000, 11.263, 0.000], [0.000, 0.000, 11.255]], "species": ["Re", "Re", "Cu", "Re", "Cu", "Cu", "Re", "Cu", "Re", "Re", "Re", "Re", "Cu", "Cu", "Cu", "Re", "Re", "Re", "Cu", "Re", "Cu", "Cu", "Re", "Re", "Cu", "Cu", "Re", "Cu", "Cu", "Re", "Cu", "Cu"], "fractional_positions": [[0.500, 0.500, 0.835], [0.000, 0.500, 0.665], [0.500, 0.168, 0.832], [0.500, 0.665, 0.000], [0.000, 0.168, 0.332], [0.000, 0.168, 0.668], [0.000, 0.500, 0.335], [0.000, 0.668, 0.832], [0.500, 0.500, 0.165], [0.000, 0.165, 0.000], [0.500, 0.000, 0.335], [0.500, 0.165, 0.500], [0.500, 0.668, 0.332], [0.500, 0.832, 0.168], [0.500, 0.168, 0.168], [0.500, 0.835, 0.500], [0.000, 0.000, 0.165], [0.500, 0.335, 0.000], [0.000, 0.332, 0.832], [0.000, 0.000, 0.835], [0.500, 0.668, 0.668], [0.000, 0.832, 0.332], [0.000, 0.835, 0.000], [0.000, 0.665, 0.500], [0.000, 0.668, 0.168], [0.500, 0.332, 0.668], [0.500, 0.000, 0.665], [0.500, 0.332, 0.332], [0.500, 0.832, 0.832], [0.000, 0.335, 0.500], [0.000, 0.332, 0.168], [0.000, 0.832, 0.668]]}


Stability ranking, top entry: i; the second entry is 0.018 eV/atom less favorable.